(1)
TlTeOs2 | meta-GGA SCAN | single point on PBEsol structure

Summary:
Raw formation energy (kJ/mol of atoms): 102.2
Energy above the lowest structure with this stoichiometry (meV/atom): 384.2
Uncorrected energy (eV/cell): -249.13

The structure in CIF format:
```
data_TlTeOs2
_space_group_name_H-M_alt 'P 1'
_space_group_IT_number 1
_cell_length_a 3.186
_cell_length_b 3.186
_cell_length_c 6.900
_cell_angle_alpha 90.00
_cell_angle_beta 90.00
_cell_angle_gamma 90.00
loop_
_space_group_symop_operation_xyz
'x,y,z'
loop_
_atom_site_label
_atom_site_fract_x
_atom_site_fract_y
_atom_site_fract_z
Tl1 0.000 0.000 0.000
Te1 0.000 0.000 0.500
Os1 0.500 0.500 0.275
Os2 0.500 0.500 0.725
```


(2)
Te2OsW | meta-GGA SCAN | single point on PBEsol structure

Summary:
Raw formation energy (kJ/mol of atoms): 117.3
Energy above the lowest structure with this stoichiometry (meV/atom): 720.7
Uncorrected energy (eV/cell): -211.21

The structure in CIF format:
```
data_Te2OsW
_space_group_name_H-M_alt 'P 1'
_space_group_IT_number 1
_cell_length_a 5.116
_cell_length_b 5.116
_cell_length_c 5.116
_cell_angle_alpha 131.33
_cell_angle_beta 131.33
_cell_angle_gamma 71.29
loop_
_space_group_symop_operation_xyz
'x,y,z'
loop_
_atom_site_label
_atom_site_fract_x
_atom_site_fract_y
_atom_site_fract_z
Te1 0.000 0.000 0.000
Te2 0.750 0.250 0.500
Os1 0.250 0.750 0.500
W1 0.500 0.500 0.000
```


(3)
Te2OsW | meta-GGA SCAN | single point on PBEsol structure

Summary:
Raw formation energy (kJ/mol of atoms): 47.8
Energy above the lowest structure with this stoichiometry (meV/atom): 0.0
Uncorrected energy (eV/cell): -214.09

The structure in CIF format:
```
data_Te2OsW
_space_group_name_H-M_alt 'P 1'
_space_group_IT_number 1
_cell_length_a 2.976
_cell_length_b 3.842
_cell_length_c 7.447
_cell_angle_alpha 90.00
_cell_angle_beta 90.00
_cell_angle_gamma 90.00
loop_
_space_group_symop_operation_xyz
'x,y,z'
loop_
_atom_site_label
_atom_site_fract_x
_atom_site_fract_y
_atom_site_fract_z
Te1 0.000 0.000 0.000
Te2 0.500 0.500 0.410
Os1 0.500 0.500 0.789
W1 0.000 0.000 0.631
```


(4)
Te2OsW | meta-GGA SCAN | single point on PBEsol structure

Summary:
Raw formation energy (kJ/mol of atoms): 135.0
Energy above the lowest structure with this stoichiometry (meV/atom): 904.5
Uncorrected energy (eV/cell): -210.47

The structure in CIF format:
```
data_Te2OsW
_space_group_name_H-M_alt 'P 1'
_space_group_IT_number 1
_cell_length_a 3.111
_cell_length_b 3.111
_cell_length_c 8.903
_cell_angle_alpha 90.00
_cell_angle_beta 90.00
_cell_angle_gamma 118.16
loop_
_space_group_symop_operation_xyz
'x,y,z'
loop_
_atom_site_label
_atom_site_fract_x
_atom_site_fract_y
_atom_site_fract_z
Te1 0.000 0.000 0.247
Te2 0.000 0.000 0.753
Os1 0.500 0.500 0.000
W1 0.500 0.500 0.500
```


(5)
Te2OsW | meta-GGA SCAN | single point on PBEsol structure

Summary:
Raw formation energy (kJ/mol of atoms): 133.4
Energy above the lowest structure with this stoichiometry (meV/atom): 887.6
Uncorrected energy (eV/cell): -210.54

The structure in CIF format:
```
data_Te2OsW
_space_group_name_H-M_alt 'P 1'
_space_group_IT_number 1
_cell_length_a 4.752
_cell_length_b 4.752
_cell_length_c 4.752
_cell_angle_alpha 60.00
_cell_angle_beta 60.00
_cell_angle_gamma 60.00
loop_
_space_group_symop_operation_xyz
'x,y,z'
loop_
_atom_site_label
_atom_site_fract_x
_atom_site_fract_y
_atom_site_fract_z
Te1 0.000 0.000 0.000
Te2 0.250 0.250 0.250
Os1 0.500 0.500 0.500
W1 0.750 0.750 0.750
```


(6)
Y3TeOs | meta-GGA SCAN | single point on PBEsol structure

Summary:
Raw formation energy (kJ/mol of atoms): -39.9
Uncorrected energy (eV/cell): -194.73

The structure in CIF format:
```
data_Y3TeOs
_space_group_name_H-M_alt 'P 1'
_space_group_IT_number 1
_cell_length_a 5.298
_cell_length_b 5.298
_cell_length_c 5.298
_cell_angle_alpha 90.00
_cell_angle_beta 90.00
_cell_angle_gamma 90.00
loop_
_space_group_symop_operation_xyz
'x,y,z'
loop_
_atom_site_label
_atom_site_fract_x
_atom_site_fract_y
_atom_site_fract_z
Y1 0.000 0.000 0.500
Y2 0.000 0.500 0.000
Y3 0.500 0.000 0.000
Te1 0.500 0.500 0.500
Os1 0.000 0.000 0.000
```


(7)
YTe2Os | meta-GGA SCAN | single point on PBEsol structure

Summary:
Raw formation energy (kJ/mol of atoms): 17.6
Energy above the lowest structure with this stoichiometry (meV/atom): 459.0
Uncorrected energy (eV/cell): -173.49

The structure in CIF format:
```
data_YTe2Os
_space_group_name_H-M_alt 'P 1'
_space_group_IT_number 1
_cell_length_a 3.443
_cell_length_b 3.443
_cell_length_c 7.156
_cell_angle_alpha 90.00
_cell_angle_beta 90.00
_cell_angle_gamma 90.00
loop_
_space_group_symop_operation_xyz
'x,y,z'
loop_
_atom_site_label
_atom_site_fract_x
_atom_site_fract_y
_atom_site_fract_z
Y1 0.000 0.000 0.000
Te1 0.500 0.500 0.276
Te2 0.500 0.500 0.724
Os1 0.000 0.000 0.500
```


(8)
YTe2Os | meta-GGA SCAN | single point on PBEsol structure

Summary:
Raw formation energy (kJ/mol of atoms): -26.7
Energy above the lowest structure with this stoichiometry (meV/atom): 0.0
Uncorrected energy (eV/cell): -175.33

The structure in CIF format:
```
data_YTe2Os
_space_group_name_H-M_alt 'P 1'
_space_group_IT_number 1
_cell_length_a 4.866
_cell_length_b 4.866
_cell_length_c 4.196
_cell_angle_alpha 90.00
_cell_angle_beta 90.00
_cell_angle_gamma 104.07
loop_
_space_group_symop_operation_xyz
'x,y,z'
loop_
_atom_site_label
_atom_site_fract_x
_atom_site_fract_y
_atom_site_fract_z
Y1 0.000 0.000 0.000
Te1 0.296 0.704 0.500
Te2 0.704 0.296 0.500
Os1 0.500 0.500 0.000
```


(9)
ZnTeOs | meta-GGA SCAN | single point on PBEsol structure

Summary:
Raw formation energy (kJ/mol of atoms): 42.4
Energy above the lowest structure with this stoichiometry (meV/atom): 0.0
Uncorrected energy (eV/cell): -121.33

The structure in CIF format:
```
data_ZnTeOs
_space_group_name_H-M_alt 'P 1'
_space_group_IT_number 1
_cell_length_a 6.311
_cell_length_b 6.311
_cell_length_c 6.311
_cell_angle_alpha 151.76
_cell_angle_beta 151.76
_cell_angle_gamma 40.37
loop_
_space_group_symop_operation_xyz
'x,y,z'
loop_
_atom_site_label
_atom_site_fract_x
_atom_site_fract_y
_atom_site_fract_z
Zn1 0.000 0.000 0.000
Te1 0.733 0.733 0.000
Os1 0.369 0.369 0.000
```


(10)
ZnTeOs2 | meta-GGA SCAN | single point on PBEsol structure

Summary:
Raw formation energy (kJ/mol of atoms): 56.9
Energy above the lowest structure with this stoichiometry (meV/atom): 0.0
Uncorrected energy (eV/cell): -192.17

The structure in CIF format:
```
data_ZnTeOs2
_space_group_name_H-M_alt 'P 1'
_space_group_IT_number 1
_cell_length_a 4.499
_cell_length_b 4.499
_cell_length_c 5.000
_cell_angle_alpha 100.05
_cell_angle_beta 100.05
_cell_angle_gamma 39.02
loop_
_space_group_symop_operation_xyz
'x,y,z'
loop_
_atom_site_label
_atom_site_fract_x
_atom_site_fract_y
_atom_site_fract_z
Zn1 0.000 0.000 0.000
Te1 0.500 0.500 0.500
Os1 0.248 0.248 0.767
Os2 0.752 0.752 0.233
```


(11)
ZnTeOs2 | meta-GGA SCAN | single point on PBEsol structure

Summary:
Raw formation energy (kJ/mol of atoms): 94.0
Energy above the lowest structure with this stoichiometry (meV/atom): 384.5
Uncorrected energy (eV/cell): -190.63

The structure in CIF format:
```
data_ZnTeOs2
_space_group_name_H-M_alt 'P 1'
_space_group_IT_number 1
_cell_length_a 2.846
_cell_length_b 2.846
_cell_length_c 9.077
_cell_angle_alpha 90.00
_cell_angle_beta 90.00
_cell_angle_gamma 118.46
loop_
_space_group_symop_operation_xyz
'x,y,z'
loop_
_atom_site_label
_atom_site_fract_x
_atom_site_fract_y
_atom_site_fract_z
Zn1 0.000 0.000 0.000
Te1 0.000 0.000 0.500
Os1 0.500 0.500 0.232
Os2 0.500 0.500 0.768
```


(12)
ZnTeOs | meta-GGA SCAN | single point on PBEsol structure

Summary:
Raw formation energy (kJ/mol of atoms): 45.3
Energy above the lowest structure with this stoichiometry (meV/atom): 30.3
Uncorrected energy (eV/cell): -121.24

The structure in CIF format:
```
data_ZnTeOs
_space_group_name_H-M_alt 'P 1'
_space_group_IT_number 1
_cell_length_a 3.176
_cell_length_b 3.176
_cell_length_c 6.193
_cell_angle_alpha 90.00
_cell_angle_beta 90.00
_cell_angle_gamma 120.00
loop_
_space_group_symop_operation_xyz
'x,y,z'
loop_
_atom_site_label
_atom_site_fract_x
_atom_site_fract_y
_atom_site_fract_z
Zn1 0.000 0.000 0.000
Te1 0.333 0.667 0.395
Os1 0.667 0.333 0.700
```